This record from Alexandria describes a geometry-optimized PmY2Ru structure. The functional is PBE.

CIF file:
```
data_PmY2Ru
_chemical_formula_sum 'Pm1 Y2 Ru1'
_cell_length_a 3.455
_cell_length_b 3.455
_cell_length_c 9.062
_cell_angle_alpha 90.00
_cell_angle_beta 90.00
_cell_angle_gamma 90.00
_space_group_name_H-M_alt 'P 4/m m m'
_space_group_IT_number 123
_space_group_name_Hall '-P 4 2'
loop_
_atom_site_label
_atom_site_type_symbol
_atom_site_fract_x
_atom_site_fract_y
_atom_site_fract_z
Pm1 Pm 0.000 0.000 0.000
Y1 Y 0.500 0.500 0.319
Ru1 Ru 0.000 0.000 0.500
```

Output
- Electronic total energy: -0.2550 Ha/atom
- Spin magnetization: 0.00 μB/f.u.
- Polymorph energy (0 for the lowest one): 75 meV per atom
- Calculated formation energy: -0.201 eV per atom
- Fermi-level density of states: 2.962 states/eV/cell

---

This record from Alexandria describes a geometry-optimized Y2RhIO structure. The functional is PBE.

CIF file:
```
data_Y2RhIO
_chemical_formula_sum 'Y2 Rh1 I1 O1'
_cell_length_a 5.624
_cell_length_b 5.624
_cell_length_c 4.693
_cell_angle_alpha 90.00
_cell_angle_beta 90.00
_cell_angle_gamma 90.00
_space_group_name_H-M_alt 'P 4/m m m'
_space_group_IT_number 123
_space_group_name_Hall '-P 4 2'
loop_
_atom_site_label
_atom_site_type_symbol
_atom_site_fract_x
_atom_site_fract_y
_atom_site_fract_z
Y1 Y 0.000 0.500 0.000
Rh1 Rh 0.000 0.000 0.500
I1 I 0.000 0.000 0.000
O1 O 0.500 0.500 0.500
```

Output
- Electronic total energy: -0.1777 Ha/atom
- Spin magnetization: 0.00 μB/f.u.
- Fermi-level density of states: 5.525 states/eV/cell
- Formation energy from raw total energies: 0.52 eV/atom

---

This record from Alexandria describes a geometry-optimized Ca2SnBi structure. The functional is PBE.

CIF file:
```
data_Ca2SnBi
_chemical_formula_sum 'Ca6 Sn3 Bi3'
_cell_length_a 3.9295
_cell_length_b 3.9295
_cell_length_c 28.5707
_cell_angle_alpha 90.00
_cell_angle_beta 90.00
_cell_angle_gamma 120.00
_space_group_name_H-M_alt 'R -3 m'
_space_group_IT_number 166
_space_group_name_Hall '-R 3 2"'
loop_
_atom_site_label
_atom_site_type_symbol
_atom_site_fract_x
_atom_site_fract_y
_atom_site_fract_z
Ca1 Ca 0.0000 0.0000 0.2492
Sn1 Sn 0.0000 0.0000 0.5000
Bi1 Bi 0.0000 0.0000 0.0000
```

Output
- Electronic total energy: -0.1291 Ha/atom
- Spin magnetization: 0.00 μB/f.u.
- Polymorph energy (0 for the lowest one): 116 meV per atom
- Calculated formation energy: -0.541 eV per atom
- Fermi-level density of states: 4.620 states/eV/cell

---

This record from Alexandria describes a geometry-optimized KBrNF2 structure. The functional is PBE.

CIF file:
```
data_KBrNF2
_chemical_formula_sum 'K1 Br1 N1 F2'
_cell_length_a 4.852
_cell_length_b 4.852
_cell_length_c 3.720
_cell_angle_alpha 90.00
_cell_angle_beta 90.00
_cell_angle_gamma 90.00
_space_group_name_H-M_alt 'P 4/m m m'
_space_group_IT_number 123
_space_group_name_Hall '-P 4 2'
loop_
_atom_site_label
_atom_site_type_symbol
_atom_site_fract_x
_atom_site_fract_y
_atom_site_fract_z
K1 K 0.000 0.000 0.000
Br1 Br 0.500 0.500 0.500
N1 N 0.500 0.500 0.000
F1 F 0.000 0.500 0.500
```

Output
- Electronic total energy: -0.1242 Ha/atom
- Spin magnetization: 0.00 μB/f.u.
- Polymorph energy (0 for the lowest one): 0 meV per atom
- Fermi-level density of states: 3.066 states/eV/cell
- Formation energy from raw total energies: -0.41 eV/atom

---

This record from Alexandria describes a geometry-optimized Ca2FeIr structure. The functional is PBE.

CIF file:
```
data_Ca2FeIr
_chemical_formula_sum 'Ca2 Fe1 Ir1'
_cell_length_a 3.360
_cell_length_b 3.360
_cell_length_c 7.601
_cell_angle_alpha 90.00
_cell_angle_beta 90.00
_cell_angle_gamma 90.00
_space_group_name_H-M_alt 'P 4/m m m'
_space_group_IT_number 123
_space_group_name_Hall '-P 4 2'
loop_
_atom_site_label
_atom_site_type_symbol
_atom_site_fract_x
_atom_site_fract_y
_atom_site_fract_z
Ca1 Ca 0.000 0.000 0.226
Fe1 Fe 0.500 0.500 0.500
Ir1 Ir 0.500 0.500 0.000
```

Output
- Electronic total energy: -0.1871 Ha/atom
- Spin magnetization: 2.69 μB/f.u.
- Polymorph energy (0 for the lowest one): 268 meV per atom
- Calculated formation energy: 0.241 eV per atom
- Fermi-level density of states: 3.974 states/eV/cell

---

This record from Alexandria describes a geometry-optimized ZrAg2N2 structure. The functional is PBE.

CIF file:
```
data_ZrAg2N2
_chemical_formula_sum 'Zr2 Ag4 N4'
_cell_length_a 3.545
_cell_length_b 3.545
_cell_length_c 11.907
_cell_angle_alpha 90.00
_cell_angle_beta 90.00
_cell_angle_gamma 90.00
_space_group_name_H-M_alt 'I 4/m m m'
_space_group_IT_number 139
_space_group_name_Hall '-I 4 2'
loop_
_atom_site_label
_atom_site_type_symbol
_atom_site_fract_x
_atom_site_fract_y
_atom_site_fract_z
Zr1 Zr 0.000 0.000 0.000
Ag1 Ag 0.000 0.500 0.250
N1 N 0.000 0.000 0.443
```

Output
- Electronic total energy: -0.2109 Ha/atom
- Spin magnetization: 0.00 μB/f.u.
- Polymorph energy (0 for the lowest one): 273 meV per atom
- Fermi-level density of states: 3.710 states/eV/cell
- Formation energy from raw total energies: 0.44 eV/atom